Entry 1:
{
  "formula": "TaInI3",
  "functional": "PBE-GGA",
  "state": "optimized geometry",
  "cell": [[-1.366, 4.490, -3.627], [-4.751, -2.991, -1.913], [-3.277, 2.465, 4.285]],
  "species": ["In", "I", "I", "I", "Ta"],
  "frac_coords": [[0.000, 0.000, 0.000], [0.000, 0.500, 0.000], [0.000, 0.000, 0.500], [0.500, 0.000, 0.000], [0.500, 0.500, 0.500]],
  "formation_energy_uncorrected_ev_per_fu": 5.30,
  "m_tot_mub_per_cell": 4.00,
  "de_polymorph_mev_per_atom": 881
}

Entry 2:
{
  "formula": "BeBr3O",
  "functional": "PBE-GGA",
  "state": "optimized geometry",
  "cell": [[4.808, 0.000, 0.000], [0.000, 4.808, 0.000], [0.000, 0.000, 4.808]],
  "species": ["Br", "Br", "Be", "Br", "O"],
  "frac_coords": [[0.000, 0.000, 0.500], [0.000, 0.500, 0.000], [0.000, 0.000, 0.000], [0.500, 0.000, 0.000], [0.500, 0.500, 0.500]],
  "formation_energy_uncorrected_ev_per_fu": 1.98,
  "m_tot_mub_per_cell": 2.89,
  "de_polymorph_mev_per_atom": 0
}

Entry 3:
{
  "formula": "TePtN3",
  "functional": "PBE-GGA",
  "state": "optimized geometry",
  "cell": [[3.963, 0.000, 0.000], [0.000, 3.963, 0.000], [0.000, 0.000, 3.963]],
  "species": ["N", "N", "Te", "Pt", "N"],
  "frac_coords": [[0.000, 0.500, 0.000], [0.000, 0.000, 0.500], [0.000, 0.000, 0.000], [0.500, 0.500, 0.500], [0.500, 0.000, 0.000]],
  "formation_energy_uncorrected_ev_per_fu": 10.81,
  "m_tot_mub_per_cell": 2.25
}

Entry 4:
{
  "formula": "SmTh6Sc2",
  "functional": "PBE-GGA",
  "state": "optimized geometry",
  "cell": [[-6.120, 2.998, -5.920], [-3.607, -5.972, 0.704], [-4.333, 6.682, -0.443]],
  "species": ["Th", "Sc", "Sm", "Th", "Sc", "Th", "Th", "Th", "Th"],
  "frac_coords": [[0.363, 0.675, 0.351], [0.729, 0.699, 0.398], [0.000, 0.000, 0.000], [0.206, 0.309, 0.138], [0.271, 0.301, 0.602], [0.637, 0.325, 0.649], [0.794, 0.691, 0.862], [0.206, 0.830, 0.138], [0.794, 0.170, 0.862]],
  "m_tot_mub_per_cell": 0.00,
  "e_form_ev_per_atom": 0.40
}

Entry 5:
{
  "formula": "NaLi6Pd6",
  "functional": "PBE-GGA",
  "state": "optimized geometry",
  "cell": [[5.346, -0.245, 0.000], [-2.460, 4.753, 0.000], [0.000, 0.000, 8.692]],
  "species": ["Pd", "Na", "Li", "Li", "Li", "Li", "Li", "Pd", "Pd", "Pd", "Pd", "Pd", "Li"],
  "frac_coords": [[0.500, 0.500, 0.247], [0.000, 0.000, 0.000], [0.000, 0.000, 0.672], [0.333, 0.667, 0.500], [0.667, 0.333, 0.000], [0.333, 0.667, 0.000], [0.667, 0.333, 0.500], [0.500, 0.000, 0.753], [0.000, 0.500, 0.753], [0.000, 0.500, 0.247], [0.500, 0.000, 0.247], [0.500, 0.500, 0.753], [0.000, 0.000, 0.328]],
  "m_tot_mub_per_cell": 0.00,
  "e_form_ev_per_atom": -0.35
}

Entry 6:
{
  "formula": "BaGaN",
  "functional": "PBE-GGA",
  "state": "optimized geometry",
  "cell": [[4.083, 0.000, 0.000], [0.000, 4.083, 0.000], [0.000, 0.000, 9.097]],
  "species": ["Ba", "N", "Ga", "N", "Ba", "Ga"],
  "frac_coords": [[0.000, 0.000, 0.000], [0.500, 0.500, 0.071], [0.500, 0.500, 0.724], [0.500, 0.500, 0.929], [0.000, 0.000, 0.500], [0.500, 0.500, 0.276]],
  "formation_energy_uncorrected_ev_per_fu": -0.85,
  "m_tot_mub_per_cell": 0.00
}

Entry 7:
{
  "formula": "Na2CdSnCl6",
  "functional": "PBE-GGA",
  "state": "optimized geometry",
  "cell": [[7.044, 0.000, 0.001], [3.523, 6.100, 0.000], [3.522, 2.034, 6.332]],
  "species": ["Cl", "Cl", "Cd", "Na", "Cl", "Cl", "Na", "Sn", "Cl", "Cl"],
  "frac_coords": [[0.419, 0.705, 0.763], [0.941, 0.590, 0.248], [0.319, 0.319, 0.042], [0.520, 0.520, 0.441], [0.113, 0.419, 0.763], [0.705, 0.113, 0.763], [0.016, 0.016, 0.952], [0.817, 0.817, 0.549], [0.221, 0.941, 0.248], [0.590, 0.221, 0.248]],
  "formation_energy_uncorrected_ev_per_fu": -13.38,
  "m_tot_mub_per_cell": 0.00
}

Entry 8:
{
  "formula": "CsCeTcN3",
  "functional": "PBE-GGA",
  "state": "optimized geometry",
  "cell": [[-3.086, 0.743, -2.254], [0.621, -7.195, 0.139], [-4.585, 1.658, 6.826]],
  "species": ["N", "Cs", "N", "N", "Ce", "Cs", "N", "N", "Tc", "Ce", "N", "Tc"],
  "frac_coords": [[0.167, 0.333, 0.405], [0.640, 0.280, 0.071], [0.512, 0.023, 0.339], [0.135, 0.270, 0.749], [0.339, 0.678, 0.427], [0.360, 0.720, 0.929], [0.488, 0.977, 0.661], [0.865, 0.730, 0.251], [0.003, 0.006, 0.353], [0.661, 0.322, 0.573], [0.833, 0.667, 0.595], [0.997, 0.994, 0.647]],
  "formation_energy_uncorrected_ev_per_fu": -3.25,
  "m_tot_mub_per_cell": 0.00
}